Entry 1
{
  "formula": "CdPd6Au",
  "functional": "PBE",
  "state": "optimized geometry",
  "lattice_angstrom": [[4.507, -2.003, 0.000], [4.507, 2.003, 0.000], [-3.556, 0.000, 7.160]],
  "species": ["Cd", "Pd", "Pd", "Pd", "Pd", "Pd", "Pd", "Au"],
  "fractional_positions": [[0.000, 0.000, 0.000], [0.250, 0.250, 0.376], [0.250, 0.250, 0.874], [0.498, 0.498, 0.250], [0.502, 0.502, 0.750], [0.750, 0.750, 0.126], [0.750, 0.750, 0.624], [0.000, 0.000, 0.500]],
  "magnetic_moment_mub_per_cell": 0.000,
  "space_group": "C2/m (12)",
  "dos_ef_per_ev_fu": 11.53
}



Entry 2
{
  "formula": "CdPd6Au",
  "functional": "PBE",
  "state": "optimized geometry",
  "lattice_angstrom": [[5.661, 0.000, 0.000], [-2.830, 4.902, 0.000], [0.000, 0.000, 4.676]],
  "species": ["Cd", "Pd", "Pd", "Pd", "Pd", "Pd", "Pd", "Au"],
  "fractional_positions": [[0.000, 0.000, 0.000], [0.001, 0.501, 0.000], [0.168, 0.337, 0.500], [0.168, 0.832, 0.500], [0.499, 0.501, 0.000], [0.499, 0.999, 0.000], [0.663, 0.832, 0.500], [0.667, 0.333, 0.500]],
  "magnetic_moment_mub_per_cell": 0.000,
  "space_group": "P-6m2 (187)",
  "dos_ef_per_ev_fu": 10.95
}



Going by the energies, entry 1 is most stable and the next is 24 meV/atom up.